# KRe2Te

Crystalline KRe2Te at its relaxed geometry (PBE, Alexandria via LeMat-Bulk).

Values from the calculation:
DFT total energy: -6.11 eV per atom
M_tot: 0.000 μB per formula unit
Uncorrected formation energy: 1169.5 meV/atom
Symmetry: No. 10

Lattice parameters (Å, degrees): 2.780 5.466 5.990 90.00 91.71 90.00
Fractional positions:
K  0.000  0.000  0.000
Re  0.396  0.500  0.310
Re  0.604  0.500  0.690
Te  0.500  0.000  0.500